1.
DFT (GGA-PBE) results for an optimized crystal structure of TmTiCuTc.

Energy (eV for the cell shown): -27.5
Calculated volume (Å³/atom): 17.006
Density of states at the Fermi level (states/eV per atom): 0.883

```
TmTiCuTc
1.0
0.0000 3.2400 3.2400
3.2400 0.0000 3.2400
3.2400 3.2400 0.0000
Tm Ti Cu Tc
1 1 1 1
Cartesian
0.0000 0.0000 0.0000
3.2400 3.2400 3.2400
1.6200 1.6200 1.6200
4.8600 4.8600 4.8600
```


2.
DFT (GGA-PBE) results for an optimized crystal structure of Ti2VCuTc.

Energy (eV for the cell shown): -35.0
Calculated volume (Å³/atom): 20.012
Density of states at the Fermi level (states/eV per atom): 1.160

```
Ti2VCuTc
1.0
4.6899 0.0000 0.0000
0.0000 4.6899 0.0000
0.0000 0.0000 4.5491
Ti V Cu Tc
2 1 1 1
Cartesian
0.0000 2.3450 0.0000
2.3450 0.0000 0.0000
0.0000 0.0000 2.2746
2.3450 2.3450 2.2746
0.0000 0.0000 0.0000
```


3.
DFT (GGA-PBE) results for an optimized crystal structure of ZrTiCuTc2.

Energy (eV for the cell shown): -37.6
Calculated volume (Å³/atom): 18.282
Density of states at the Fermi level (states/eV per atom): 1.090

```
ZrTiCuTc2
1.0
4.5248 0.0000 0.0000
0.0000 4.5248 0.0000
0.0000 0.0000 4.4647
Zr Ti Cu Tc
1 1 1 2
Cartesian
0.0000 0.0000 0.0000
2.2624 2.2624 2.2324
2.2624 2.2624 0.0000
0.0000 2.2624 2.2324
2.2624 0.0000 2.2324
```


4.
DFT (GGA-PBE) results for an optimized crystal structure of ZrTiCuTc.

Energy (eV for the cell shown): -31.9
Calculated volume (Å³/atom): 16.373
Density of states at the Fermi level (states/eV per atom): 1.031

```
ZrTiCuTc
1.0
0.0000 3.1993 3.1993
3.1993 0.0000 3.1993
3.1993 3.1993 0.0000
Zr Ti Cu Tc
1 1 1 1
Cartesian
0.0000 0.0000 0.0000
3.1993 3.1993 3.1993
4.7989 4.7989 4.7989
1.5996 1.5996 1.5996
```


5.
DFT (GGA-PBE) results for an optimized crystal structure of TlCu2Tc.

Calculated volume (Å³/atom): 16.321
Density of states at the Fermi level (states/eV per atom): 1.278
Relative energy among the computed polymorphs (meV/atom): 165

```
TlCu2Tc
1.0
1.4486 0.8363 8.9811
-1.4486 0.8363 8.9811
0.0000 -1.6727 8.9811
Tl Cu Tc
1 2 1
Cartesian
0.0000 0.0000 0.0000
0.0000 0.0000 6.5398
0.0000 0.0000 20.4035
0.0000 0.0000 13.4717
```


6.
DFT (GGA-PBE) results for an optimized crystal structure of TlCuTc2.

Calculated volume (Å³/atom): 17.704
Density of states at the Fermi level (states/eV per atom): 0.904
Relative energy among the computed polymorphs (meV/atom): 410

```
TlCuTc2
1.0
-1.9008 1.9008 9.8001
1.9008 -1.9008 9.8001
1.9008 1.9008 -9.8001
Tl Cu Tc
2 2 4
Cartesian
0.0000 0.0000 0.0000
0.0000 1.9008 4.9000
1.9008 0.0000 4.9000
0.0000 0.0000 9.8001
0.9504 -0.7160 7.3500
1.1848 0.9504 2.4500
0.9504 2.6168 -2.4500
0.7160 0.9504 12.2501
```


Listing size of the total moment for the structures above in their given order: 0.000 1.996 0.000 0.000 0.259 0.000 μB per formula unit.